This record from the Open Quantum Materials Database describes a relaxed GaWAu crystal. The functional is PBE.

Cell: 4.379 4.379 4.379 Å, 60.00 60.00 60.00°
Fractional positions:
Au 0.250 0.250 0.250
Ga 0.750 0.750 0.750
W 0.000 0.000 0.000

Electronic total energy ... -16.809 eV for the cell shown
Space-group type ... F-43m, No. 216

***

This record from the Open Quantum Materials Database describes a relaxed PdO3 crystal. The functional is PBE.

Cell: 5.433 5.433 4.486 Å, 104.15 104.15 127.58°
Fractional positions:
O 0.358 0.495 0.329
O 0.023 0.191 0.676
O 0.029 0.668 0.335
O 0.332 0.971 0.665
O 0.505 0.642 0.671
O 0.809 0.977 0.324
Pd 0.701 0.299 0.500
Pd 0.060 0.940 0.000

Electronic total energy ... -37.812 eV for the cell shown
Space-group type ... C2, No. 5

***

This record from the Open Quantum Materials Database describes a relaxed YFeAg2 crystal. The functional is PBE.

Cell: 4.777 4.777 4.777 Å, 60.00 60.00 60.00°
Fractional positions:
Fe 0.250 0.250 0.250
Y 0.500 0.500 0.500
Ag 0.750 0.750 0.750
Ag 0.000 0.000 0.000

ΔH_f (0 K) ... 0.15 eV/atom
Space-group type ... F-43m, No. 216

***

This record from the Open Quantum Materials Database describes a relaxed InP5Os3 crystal. The functional is PBE.

Cell: 5.841 5.841 5.377 Å, 90.00 90.00 120.00°
Fractional positions:
P 0.667 0.333 0.801
P 0.000 0.000 0.500
P 0.333 0.667 0.199
P 0.333 0.667 0.801
P 0.667 0.333 0.199
In 0.000 0.000 0.000
Os 0.000 0.500 0.500
Os 0.500 0.000 0.500
Os 0.500 0.500 0.500

Electronic total energy ... -61.183 eV for the cell shown
Space-group type ... P6/mmm, No. 191

***

This record from the Open Quantum Materials Database describes a relaxed Pm3Ge2Cl crystal. The functional is PBE.

Cell: 7.361 7.361 7.361 Å, 146.77 132.42 59.27°
Fractional positions:
Pm 0.175 0.675 0.500
Pm 0.500 0.000 0.500
Pm 0.825 0.325 0.500
Cl 0.000 0.000 0.000
Ge 0.337 0.337 0.000
Ge 0.663 0.663 0.000

Electronic total energy ... -32.291 eV for the cell shown
Space-group type ... Immm, No. 71

***

This record from the Open Quantum Materials Database describes a relaxed NaNdPb crystal. The functional is PBE.

Cell: 5.266 5.266 5.266 Å, 60.00 60.00 60.00°
Fractional positions:
Na 0.250 0.250 0.250
Pb 0.000 0.000 0.000
Nd 0.750 0.750 0.750

Electronic total energy ... -10.514 eV for the cell shown
Space-group type ... F-43m, No. 216

***

This record from the Open Quantum Materials Database describes a relaxed HfIrAu crystal. The functional is PBE.

Cell: 4.445 4.445 4.445 Å, 60.00 60.00 60.00°
Fractional positions:
Au 0.250 0.250 0.250
Ir 0.000 0.000 0.000
Hf 0.750 0.750 0.750

ΔH_f (0 K) ... -0.33 eV/atom
Space-group type ... F-43m, No. 216

***

This record from the Open Quantum Materials Database describes a relaxed Dy4Sc2Bi2Os crystal. The functional is PBE.

Cell: 4.229 8.081 8.081 Å, 120.02 90.00 90.00°
Fractional positions:
Sc 0.000 0.773 0.000
Sc 0.000 0.000 0.773
Bi 0.000 0.674 0.335
Bi 0.000 0.335 0.674
Dy 0.500 0.390 0.998
Dy 0.000 0.228 0.228
Dy 0.500 0.998 0.390
Dy 0.500 0.618 0.618
Os 0.500 0.985 0.985

Electronic total energy ... -55.649 eV for the cell shown
Space-group type ... Amm2, No. 38

***

This record from the Open Quantum Materials Database describes a relaxed AcDyO3 crystal. The functional is PBE.

Cell: 4.109 4.109 5.047 Å, 90.00 90.00 90.00°
Fractional positions:
Ac 0.000 0.000 0.949
O 0.500 0.000 0.667
O 0.500 0.500 0.096
O 0.000 0.500 0.667
Dy 0.500 0.500 0.521

Electronic total energy ... -40.172 eV for the cell shown
Space-group type ... P4mm, No. 99

***

This record from the Open Quantum Materials Database describes a relaxed CoSbPt crystal. The functional is PBE.

Cell: 4.532 4.532 5.606 Å, 90.00 90.00 120.00°
Each line ends with the local moment (μB).
Fractional positions:
Co 0.000 0.000 0.500  1.48
Co 0.000 0.000 0.000  1.42
Sb 0.333 0.667 0.750  0.01
Sb 0.667 0.333 0.250  0.01
Pt 0.667 0.333 0.750  0.08
Pt 0.333 0.667 0.250  0.08

Electronic total energy ... -34.166 eV for the cell shown
Space-group type ... P6_3/mmc, No. 194

***

This record from the Open Quantum Materials Database describes a relaxed HfTlCoCu crystal. The functional is PBE.

Cell: 4.532 4.532 4.532 Å, 60.00 60.00 60.00°
Each line ends with the local moment (μB).
Fractional positions:
Tl 0.000 0.000 0.000  0.00
Cu 0.500 0.500 0.500  0.00
Hf 0.250 0.250 0.250  -0.01
Co 0.750 0.750 0.750  0.12

Electronic total energy ... -22.074 eV for the cell shown
Space-group type ... F-43m, No. 216

***

This record from the Open Quantum Materials Database describes a relaxed GaFeI6 crystal. The functional is PBE.

Cell: 8.125 8.125 8.048 Å, 119.48 119.48 62.47°
Each line ends with the local moment (μB).
Fractional positions:
I 0.822 0.822 0.445  0.02
I 0.178 0.178 0.566  0.28
I 0.308 0.308 0.184  0.26
I 0.690 0.690 0.805  0.01
I 0.262 0.737 0.000  0.12
I 0.737 0.262 0.000  0.11
Fe 0.352 0.352 0.925  3.53
Ga 0.651 0.651 0.076  0.00

Electronic total energy ... -23.071 eV for the cell shown
Space-group type ... Cm, No. 8